Entry 1:
Below is a relaxed structure of ZrInGa4, with properties calculated at the PBE-GGA level.

Computed properties:
Theoretical density ... 7.12 g cm⁻³
Energy of formation ... -119 meV per atom

Unit cell a=5.4280 b=5.4280 c=5.4280 alpha=60.00 beta=60.00 gamma=60.00
With the nearest neighbours (Å) after each atom.
Sites, in units of the cell vectors:
Ga1 0.1239 0.6254 0.6254  6 Ga 2.71-2.72
Ga2 0.6254 0.6254 0.1239  6 Ga 2.71-2.72
Ga3 0.6254 0.6254 0.6254  6 Ga 2.71-2.72
Ga4 0.6254 0.1239 0.6254  6 Ga 2.71-2.72
In1 0.2500 0.2500 0.2500  12 Ga 3.18, 4 Zr 3.32
Zr1 0.0000 0.0000 0.0000  12 Ga 3.18, 4 In 3.32

Entry 2:
Below is a relaxed structure of GaIr, with properties calculated at the PBE-GGA level.

Computed properties:
Theoretical density ... 13.47 g cm⁻³
Energy of formation ... 100 meV per atom

Unit cell a=5.0408 b=5.0408 c=5.0833 alpha=90.00 beta=90.00 gamma=90.00
With the nearest neighbours (Å) after each atom.
Sites, in units of the cell vectors:
Ir1 0.7030 0.7030 0.0000  6 Ga 2.54-2.57
Ir2 0.7970 0.2030 0.5000  6 Ga 2.54-2.57
Ir3 0.2030 0.7970 0.5000  6 Ga 2.54-2.57
Ir4 0.2970 0.2970 0.0000  6 Ga 2.54-2.57
Ga1 0.2954 0.2954 0.5000  6 Ir 2.54-2.57
Ga2 0.7046 0.7046 0.5000  6 Ir 2.54-2.57
Ga3 0.2046 0.7954 0.0000  6 Ir 2.54-2.57
Ga4 0.7954 0.2046 0.0000  6 Ir 2.54-2.57

Entry 3:
Below is a relaxed structure of GaIr, with properties calculated at the PBE-GGA level.

Computed properties:
Theoretical density ... 14.71 g cm⁻³
Energy of formation ... -323 meV per atom

Unit cell a=2.9181 b=2.9181 c=4.0099 alpha=90.00 beta=90.00 gamma=120.00
With the nearest neighbours (Å) after each atom.
Sites, in units of the cell vectors:
Ir1 0.3333 0.6667 0.5000  6 Ga 2.62, 6 Ir 2.92
Ga1 0.0000 0.0000 0.0000  6 Ir 2.62, 6 Ga 2.92

Entry 4:
Below is a relaxed structure of GaIr, with properties calculated at the PBE-GGA level.

Computed properties:
Theoretical density ... 13.81 g cm⁻³
Energy of formation ... -274 meV per atom

Unit cell a=5.7977 b=6.0829 c=7.1457 alpha=90.00 beta=90.00 gamma=90.00
With the nearest neighbours (Å) after each atom.
Sites, in units of the cell vectors:
Ga1 0.1051 0.5128 0.1707  5 Ir 2.45-2.68, 1 Ga 2.67
Ga2 0.6256 0.5969 0.9992  5 Ir 2.52-2.66, 2 Ga 2.67-2.78
Ga3 0.1256 0.9031 0.0008  5 Ir 2.52-2.66, 2 Ga 2.67-2.78
Ga4 0.8744 0.4031 0.4992  5 Ir 2.52-2.66, 2 Ga 2.67-2.78
Ga5 0.6051 0.9872 0.8293  5 Ir 2.45-2.68, 1 Ga 2.67
Ga6 0.3949 0.4872 0.6707  5 Ir 2.45-2.68, 1 Ga 2.67
Ga7 0.8949 0.0128 0.3293  5 Ir 2.45-2.68, 1 Ga 2.67
Ga8 0.3744 0.0969 0.5008  5 Ir 2.52-2.66, 2 Ga 2.67-2.78
Ir1 0.3279 0.2679 0.9537  5 Ga 2.45-2.66
Ir2 0.6721 0.7679 0.5463  5 Ga 2.45-2.66
Ir3 0.5032 0.4235 0.3103  5 Ga 2.52-2.68
Ir4 0.9968 0.5765 0.8103  5 Ga 2.52-2.68
Ir5 0.1721 0.7321 0.4537  5 Ga 2.45-2.66
Ir6 0.4968 0.9235 0.1897  5 Ga 2.52-2.68
Ir7 0.8279 0.2321 0.0463  5 Ga 2.45-2.66
Ir8 0.0032 0.0765 0.6897  5 Ga 2.52-2.68

Entry 5:
Below is a relaxed structure of Ga2Ir, with properties calculated at the PBE-GGA level.

Computed properties:
Theoretical density ... 12.34 g cm⁻³
Energy of formation ... -323 meV per atom

Unit cell a=3.3302 b=3.3302 c=4.6624 alpha=110.91 beta=110.91 gamma=90.01
With the nearest neighbours (Å) after each atom.
Sites, in units of the cell vectors:
Ga1 0.8361 0.8361 0.6726  5 Ga 2.64-2.74, 5 Ir 2.70-2.71
Ga2 0.1639 0.1639 0.3274  5 Ga 2.64-2.74, 5 Ir 2.70-2.71
Ir1 0.5000 0.5000 0.0000  10 Ga 2.70-2.71

Entry 6:
Below is a relaxed structure of GaIr, with properties calculated at the PBE-GGA level.

Computed properties:
Theoretical density ... 14.73 g cm⁻³
Energy of formation ... -260 meV per atom

Unit cell a=4.4054 b=2.8945 c=4.9935 alpha=90.00 beta=111.99 gamma=90.00
With the nearest neighbours (Å) after each atom.
Sites, in units of the cell vectors:
Ga1 0.0000 0.0000 0.5000  6 Ir 2.64, 6 Ga 2.89
Ga2 0.0000 0.5000 0.0000  6 Ir 2.64, 6 Ga 2.89
Ir1 0.5000 0.5000 0.5000  6 Ga 2.64, 6 Ir 2.89
Ir2 0.5000 0.0000 0.0000  6 Ga 2.64, 6 Ir 2.89

Entry 7:
Below is a relaxed structure of Ga5Ir3, with properties calculated at the PBE-GGA level.

Computed properties:
Theoretical density ... 12.36 g cm⁻³
Energy of formation ... -474 meV per atom

Unit cell a=5.8831 b=5.8831 c=14.3651 alpha=90.00 beta=90.00 gamma=90.00
With the nearest neighbours (Å) after each atom.
Sites, in units of the cell vectors:
Ga1 0.3445 0.3076 0.6526  4 Ir 2.46-2.73, 1 Ga 2.75
Ga2 0.3076 0.6555 0.3474  4 Ir 2.46-2.73, 1 Ga 2.75
Ga3 0.6555 0.6924 0.6526  4 Ir 2.46-2.73, 1 Ga 2.75
Ga4 0.7713 0.6487 0.0525  4 Ir 2.51-2.66
Ga5 0.3312 0.1688 0.2500  4 Ir 2.45-2.74, 2 Ga 2.75
Ga6 0.8445 0.1924 0.1526  4 Ir 2.46-2.73, 1 Ga 2.75
Ga7 0.6924 0.3445 0.3474  4 Ir 2.46-2.73, 1 Ga 2.75
Ga8 0.1688 0.6688 0.7500  4 Ir 2.45-2.74, 2 Ga 2.75
Ga9 0.1555 0.8076 0.1526  4 Ir 2.46-2.73, 1 Ga 2.75
Ga10 0.1487 0.2713 0.4475  4 Ir 2.51-2.66
Ga11 0.3513 0.7713 0.9475  4 Ir 2.51-2.66
Ga12 0.8076 0.8445 0.8474  4 Ir 2.46-2.73, 1 Ga 2.75
Ga13 0.6487 0.2287 0.9475  4 Ir 2.51-2.66
Ga14 0.7287 0.1487 0.5525  4 Ir 2.51-2.66
Ga15 0.6688 0.8312 0.2500  4 Ir 2.45-2.74, 2 Ga 2.75
Ga16 0.2287 0.3513 0.0525  4 Ir 2.51-2.66
Ga17 0.1924 0.1555 0.8474  4 Ir 2.46-2.73, 1 Ga 2.75
Ga18 0.2713 0.8513 0.5525  4 Ir 2.51-2.66
Ga19 0.8312 0.3312 0.7500  4 Ir 2.45-2.74, 2 Ga 2.75
Ga20 0.8513 0.7287 0.4475  4 Ir 2.51-2.66
Ir1 0.5000 0.0000 0.0863  8 Ga 2.51-2.74
Ir2 0.0000 0.5000 0.9137  8 Ga 2.51-2.74
Ir3 0.0000 0.0000 0.6724  6 Ga 2.45-2.73
Ir4 0.5000 0.0000 0.4137  8 Ga 2.51-2.74
Ir5 0.0000 0.5000 0.2500  6 Ga 2.46-2.76
Ir6 0.5000 0.0000 0.7500  6 Ga 2.46-2.76
Ir7 0.5000 0.5000 0.8276  6 Ga 2.45-2.73
Ir8 0.0000 0.0000 0.0000  8 Ga 2.58-2.63
Ir9 0.0000 0.0000 0.3276  6 Ga 2.45-2.73
Ir10 0.5000 0.5000 0.1724  6 Ga 2.45-2.73
Ir11 0.0000 0.5000 0.5863  8 Ga 2.51-2.74
Ir12 0.5000 0.5000 0.5000  8 Ga 2.58-2.63

Entry 8:
Below is a relaxed structure of GaIr, with properties calculated at the PBE-GGA level.

Computed properties:
Theoretical density ... 13.31 g cm⁻³
Energy of formation ... 152 meV per atom

Unit cell a=5.0754 b=5.0754 c=5.0754 alpha=90.00 beta=90.00 gamma=90.00
With the nearest neighbours (Å) after each atom.
Sites, in units of the cell vectors:
Ir1 0.0000 0.0000 0.5000  6 Ga 2.54
Ir2 0.0000 0.5000 0.0000  6 Ga 2.54
Ir3 0.5000 0.5000 0.5000  6 Ga 2.54
Ir4 0.5000 0.0000 0.0000  6 Ga 2.54
Ga1 0.0000 0.0000 0.0000  6 Ir 2.54
Ga2 0.5000 0.0000 0.5000  6 Ir 2.54
Ga3 0.0000 0.5000 0.5000  6 Ir 2.54
Ga4 0.5000 0.5000 0.0000  6 Ir 2.54

Entry 9:
Below is a relaxed structure of GaIr, with properties calculated at the PBE-GGA level.

Computed properties:
Theoretical density ... 9.94 g cm⁻³
Energy of formation ... 540 meV per atom

Unit cell a=5.5941 b=5.5941 c=5.5941 alpha=90.00 beta=90.00 gamma=90.00
With the nearest neighbours (Å) after each atom.
Sites, in units of the cell vectors:
Ir1 0.5000 0.5000 0.0000  4 Ga 2.42
Ir2 0.0000 0.5000 0.5000  4 Ga 2.42
Ir3 0.5000 0.0000 0.5000  4 Ga 2.42
Ir4 0.0000 0.0000 0.0000  4 Ga 2.42
Ga1 0.7500 0.7500 0.2500  4 Ir 2.42
Ga2 0.7500 0.2500 0.7500  4 Ir 2.42
Ga3 0.2500 0.2500 0.2500  4 Ir 2.42
Ga4 0.2500 0.7500 0.7500  4 Ir 2.42

Entry 10:
Below is a relaxed structure of GaIr, with properties calculated at the PBE-GGA level.

Computed properties:
Theoretical density ... 14.89 g cm⁻³
Energy of formation ... -342 meV per atom

Unit cell a=4.4362 b=2.9274 c=9.4394 alpha=90.00 beta=107.61 gamma=90.00
With the nearest neighbours (Å) after each atom.
Sites, in units of the cell vectors:
Ir1 0.7952 0.0000 0.1233  7 Ga 2.59-2.68
Ir2 0.7952 0.5000 0.6233  7 Ga 2.59-2.68
Ir3 0.2048 0.0000 0.8767  7 Ga 2.59-2.68
Ir4 0.2048 0.5000 0.3767  7 Ga 2.59-2.68
Ga1 0.3002 0.0000 0.6196  7 Ir 2.59-2.68
Ga2 0.6998 0.5000 0.8804  7 Ir 2.59-2.68
Ga3 0.3002 0.5000 0.1196  7 Ir 2.59-2.68
Ga4 0.6998 0.0000 0.3804  7 Ir 2.59-2.68

Entry 11:
Below is a relaxed structure of GaIr3, with properties calculated at the PBE-GGA level.

Computed properties:
Theoretical density ... 18.39 g cm⁻³
Energy of formation ... -93 meV per atom

Unit cell a=2.7889 b=4.4368 c=4.7163 alpha=90.00 beta=90.00 gamma=90.00
With the nearest neighbours (Å) after each atom.
Sites, in units of the cell vectors:
Ir1 0.5000 0.5000 0.8387  4 Ga 2.72, 8 Ir 2.74-2.79
Ir2 0.0000 0.5000 0.3392  10 Ir 2.72-2.79, 2 Ga 2.75
Ir3 0.5000 0.0000 0.4945  8 Ir 2.72-2.79, 4 Ga 2.74
Ga1 0.0000 0.0000 0.9942  10 Ir 2.72-2.75, 2 Ga 2.79

Entry 12:
Below is a relaxed structure of GaIr, with properties calculated at the PBE-GGA level.

Computed properties:
Theoretical density ... 8.17 g cm⁻³
Energy of formation ... 611 meV per atom

Unit cell a=6.8371 b=6.8371 c=6.8371 alpha=90.00 beta=90.00 gamma=90.00
With the nearest neighbours (Å) after each atom.
Sites, in units of the cell vectors:
Ir1 0.5000 0.7500 0.0000  4 Ga 2.42
Ir2 0.0000 0.5000 0.7500  4 Ga 2.42
Ir3 0.7500 0.0000 0.5000  4 Ga 2.42
Ir4 0.0000 0.5000 0.2500  4 Ga 2.42
Ir5 0.5000 0.2500 0.0000  4 Ga 2.42
Ir6 0.2500 0.0000 0.5000  4 Ga 2.42
Ga1 0.2500 0.5000 0.0000  4 Ir 2.42
Ga2 0.7500 0.5000 0.0000  4 Ir 2.42
Ga3 0.0000 0.7500 0.5000  4 Ir 2.42
Ga4 0.5000 0.0000 0.2500  4 Ir 2.42
Ga5 0.0000 0.2500 0.5000  4 Ir 2.42
Ga6 0.5000 0.0000 0.7500  4 Ir 2.42

Respective energy values: -4.02 -5.84 -6.27 -6.22 -5.29 -6.20 -5.69 -5.79 -5.40 -6.29 -7.50 -5.33 eV/atom.